DFT (PBE) results for a geometry-optimized SrMgNi2H6 structure.

Results
Uncorrected energy ... -3.704 eV/atom
Magnetic moment ... 0.00 Bohr magnetons per cell

Unit cell a=4.5694 b=4.5694 c=16.3259 alpha=90.00 beta=90.00 gamma=120.00
Space group R-3m (No. 166, hexagonal axes)
Unique sites:
Sr 0.0000 0.0000 0.0000 x3
Mg 0.0000 0.0000 0.5000 x3
Ni 0.0000 0.0000 0.2049 x6
H 0.0129 0.5065 0.9238 x18